DFT (PBE-GGA) results for SrNd2Pt9 after structural relaxation.

```
data_SrNd2Pt9
_chemical_formula_sum 'Sr3 Nd6 Pt27'
_symmetry_space_group_name_H-M 'R -3 m'
_symmetry_Int_Tables_number 166
_symmetry_space_group_name_Hall '-R 3 2"'
_cell_length_a 5.5168
_cell_length_b 5.5168
_cell_length_c 26.6389
_cell_angle_alpha 90.00
_cell_angle_beta 90.00
_cell_angle_gamma 120.00
loop_
_atom_site_label
_atom_site_fract_x
_atom_site_fract_y
_atom_site_fract_z
Sr1 0.0000 0.0000 0.0000
Nd1 0.0000 0.0000 0.1392
Pt1 0.0000 0.0000 0.3323
Pt2 0.0000 0.0000 0.5000
Pt3 0.0040 0.5020 0.9153
```

Computed properties:
Energy relative to the elements = -0.8485 eV per atom
VASP energy = -227.30 eV per cell


DFT (PBE-GGA) results for SrNdZnPt after structural relaxation.

```
data_SrNdZnPt
_chemical_formula_sum 'Sr4 Nd4 Zn4 Pt4'
_symmetry_space_group_name_H-M 'F -4 3 m'
_symmetry_Int_Tables_number 216
_symmetry_space_group_name_Hall 'F -4 2 3'
_cell_length_a 7.3741
_cell_length_b 7.3741
_cell_length_c 7.3741
_cell_angle_alpha 90.00
_cell_angle_beta 90.00
_cell_angle_gamma 90.00
loop_
_atom_site_label
_atom_site_fract_x
_atom_site_fract_y
_atom_site_fract_z
Sr1 0.0000 0.0000 0.0000
Nd1 0.0000 0.0000 0.5000
Zn1 0.2500 0.2500 0.2500
Pt1 0.2500 0.2500 0.7500
```

Computed properties:
Energy relative to the elements = -0.5557 eV per atom
VASP energy = -63.95 eV per cell


DFT (PBE-GGA) results for SrNdZn2Pt2 after structural relaxation.

```
data_SrNdZn2Pt2
_chemical_formula_sum 'Sr1 Nd1 Zn2 Pt2'
_symmetry_space_group_name_H-M 'P -3 m 1'
_symmetry_Int_Tables_number 164
_symmetry_space_group_name_Hall '-P 3 2"'
_cell_length_a 4.4431
_cell_length_b 4.4431
_cell_length_c 8.0825
_cell_angle_alpha 90.00
_cell_angle_beta 90.00
_cell_angle_gamma 120.00
loop_
_atom_site_label
_atom_site_fract_x
_atom_site_fract_y
_atom_site_fract_z
Sr1 0.0000 0.0000 0.0000
Nd1 0.0000 0.0000 0.5000
Zn1 0.3333 0.6667 0.7336
Pt1 0.3333 0.6667 0.2779
```

Computed properties:
Energy relative to the elements = -0.7923 eV per atom
VASP energy = -25.83 eV per cell


> What is the formula in the second record?

SrNdZnPt